# 1
## La2ScTa (PBE-GGA)

Data for a relaxed structure of La2ScTa.

abc: 5.7962 5.7962 6.0091
angles: 80.62 80.62 32.75
Fractional positions:
Ta1 0.7529 0.7529 0.7204
Sc1 0.4831 0.4831 0.5375
La1 0.0172 0.0172 0.9955
La2 0.2467 0.2467 0.2466

Values from the calculation:
The energy of formation from the pure elements comes out at 0.360 eV/atom. The calculation puts the energy relative to the lowest polymorph listed for this composition at 93.1 meV/atom. Its space group is Cm. For the uncorrected energy, the calculation gives -6.649 eV/atom.


# 2
## Tc2NiRu (PBE-GGA)

Data for a relaxed structure of Tc2NiRu.

abc: 4.6533 4.6533 2.6837
angles: 90.01 90.01 110.82
Fractional positions:
Tc1 0.5000 0.5000 0.0000
Tc2 0.0000 0.0000 0.0000
Ni1 0.5000 0.0000 0.5000
Ru1 0.0000 0.5000 0.5000

Values from the calculation:
The energy of formation from the pure elements comes out at 0.071 eV/atom. The calculation puts the energy relative to the lowest polymorph listed for this composition at 119.6 meV/atom. Its space group is Cmmm. For the uncorrected energy, the calculation gives -8.876 eV/atom.


| no. | mass density (Mg/m³) |
| --- | --- |
| 1 | 7.77 |
| 2 | 10.88 |